(i)
First-principles (PBE-GGA) data for PaNb2Se6 after structural relaxation, as listed in the Alexandria database.

```
9
Lattice="4.816 0.000 0.000 2.408 6.557 -0.617 2.408 1.975 7.344" Properties=species:S:1:pos:R:3 pbc="T T T"
Pa 2.408 4.266 3.363
Nb 4.816 7.004 6.437
Nb 4.816 1.528 0.289
Se 7.224 5.958 6.202
Se 2.408 2.574 0.525
Se 7.224 6.210 1.327
Se 4.816 5.623 4.075
Se 2.408 2.322 5.399
Se 4.816 2.909 2.651
```

Values from the calculation:
* magnetization: 0.03 μB/cell
* symmetry: C2/m

---

(ii)
First-principles (PBE-GGA) data for PaNb2Se6 after structural relaxation, as listed in the Alexandria database.

```
9
Lattice="-4.547 1.771 4.076 0.865 -0.758 6.254 1.482 6.451 3.810" Properties=species:S:1:pos:R:3 pbc="T T T"
Pa 0.000 0.000 0.000
Nb 0.152 3.451 3.630
Nb -2.353 4.012 10.510
Se -2.247 5.983 6.406
Se 1.048 4.557 5.835
Se -0.215 4.914 9.225
Se 0.046 1.481 7.734
Se -3.249 2.906 8.305
Se -1.985 2.550 4.915
```

Values from the calculation:
* magnetization: 0.00 μB/cell
* symmetry: R-3

---

Consider the structures shown above. The least stable of them is (i).